# Sc2Fe2Ni

A relaxed structure of Sc2Fe2Ni (PBE-GGA, Alexandria).

a b c (Å): 6.233 6.233 3.947
angles (deg): 90.00 90.00 90.00
Fractional positions:
Sc: 0.180 0.320 0.000
Sc: 0.320 0.820 0.000
Sc: 0.680 0.180 0.000
Sc: 0.820 0.680 0.000
Fe: 0.124 0.624 0.500
Fe: 0.376 0.124 0.500
Fe: 0.624 0.876 0.500
Fe: 0.876 0.376 0.500
Ni: 0.000 0.000 0.500
Ni: 0.500 0.500 0.500

Results
Crystal system: tetragonal
Uncorrected energy in eV/f.u.: -35.971
Space group: P4/mbm
D(E_F) in states/eV/cell: 11.29
Energy of formation in eV/atom: -0.12
Total magnetization in μB per atom: 0.4993

# B5C3

A relaxed structure of B5C3 (PBE-GGA, Alexandria).

a b c (Å): 12.424 12.424 12.424
angles (deg): 12.49 12.49 12.49
Fractional positions:
B: 0.000 0.000 0.000
B: 0.109 0.109 0.109
B: 0.228 0.228 0.228
B: 0.515 0.515 0.515
B: 0.821 0.821 0.821
C: 0.333 0.333 0.333
C: 0.558 0.558 0.558
C: 0.779 0.779 0.779

Results
Crystal system: trigonal
Uncorrected energy in eV/f.u.: -58.688
Space group: R3m
D(E_F) in states/eV/cell: 2.48
Energy of formation in eV/atom: 0.30
Total magnetization in μB per atom: 0.0437

# TcAs3Ir

A relaxed structure of TcAs3Ir (PBE-GGA, Alexandria).

a b c (Å): 4.710 4.710 4.710
angles (deg): 90.00 90.00 90.00
Fractional positions:
Tc: 0.000 0.000 0.000
As: 0.000 0.000 0.500
As: 0.000 0.500 0.000
As: 0.500 0.000 0.000
Ir: 0.500 0.500 0.500

Results
Crystal system: cubic
Uncorrected energy in eV/f.u.: -28.341
Space group: Pm-3m
D(E_F) in states/eV/cell: 2.90
Energy of formation in eV/atom: 0.97
Total magnetization in μB per atom: 0.0000

# Li4Cd7Au

A relaxed structure of Li4Cd7Au (PBE-GGA, Alexandria).

a b c (Å): 4.783 4.783 11.517
angles (deg): 90.00 90.00 120.00
Fractional positions:
Li: 0.333 0.667 0.155
Li: 0.333 0.667 0.407
Li: 0.667 0.333 0.593
Li: 0.667 0.333 0.845
Cd: 0.000 0.000 0.247
Cd: 0.000 0.000 0.500
Cd: 0.000 0.000 0.753
Cd: 0.333 0.667 0.653
Cd: 0.333 0.667 0.912
Cd: 0.667 0.333 0.088
Cd: 0.667 0.333 0.347
Au: 0.000 0.000 0.000

Results
Crystal system: trigonal
Uncorrected energy in eV/f.u.: -20.280
Space group: P-3m1
D(E_F) in states/eV/cell: 3.09
Energy of formation in eV/atom: -0.25
Total magnetization in μB per atom: 0.0000

# Pm4Dy6Er

A relaxed structure of Pm4Dy6Er (PBE-GGA, Alexandria).

a b c (Å): 9.720 9.720 9.720
angles (deg): 140.15 140.15 57.63
Fractional positions:
Pm: 0.135 0.135 0.622
Pm: 0.486 0.865 0.000
Pm: 0.514 0.514 0.378
Pm: 0.865 0.486 0.000
Dy: 0.000 0.500 0.500
Dy: 0.052 0.696 0.000
Dy: 0.304 0.304 0.356
Dy: 0.500 0.000 0.500
Dy: 0.696 0.052 0.000
Dy: 0.948 0.948 0.644
Er: 0.500 0.500 0.000

Results
Crystal system: tetragonal
Uncorrected energy in eV/f.u.: -47.917
Space group: I-42m
D(E_F) in states/eV/cell: 14.20
Energy of formation in eV/atom: 0.30
Total magnetization in μB per atom: 0.0000

- What is the formula in the second record?
  B5C3

- energy of formation of number 4 (Li4Cd7Au)?
  -0.25 eV/atom